VASP calculation (GGA-PBE) on an optimized crystal structure of KC2.

a = 5.7940 Å, b = 5.7940 Å, c = 5.8292 Å
α = 89.84°, β = 89.84°, γ = 26.65°
Sites, in units of the cell vectors:
C 0.3624 0.3624 0.2497
K 0.6233 0.6233 0.2502
C 0.6376 0.6376 0.7503
C 0.8828 0.8828 0.2505
K 0.3767 0.3767 0.7498
C 0.1172 0.1172 0.7495

Results
Distance to the lowest polymorph of the same formula ... 0.0 meV/atom
Energy of formation from the pure elements ... 505 meV/atom

***

VASP calculation (GGA-PBE) on an optimized crystal structure of BaCNO2.

a = 4.8909 Å, b = 4.8909 Å, c = 5.8123 Å
α = 90.00°, β = 90.00°, γ = 90.00°
Sites, in units of the cell vectors:
O 0.0000 0.5000 0.0000
C 0.5000 0.5000 0.5000
O 0.5000 0.0000 0.0000
Ba 0.0000 0.0000 0.0000
N 0.0000 0.0000 0.5000

Results
Uncorrected energy ... -0.28232 Ry per atom

***

VASP calculation (GGA-PBE) on an optimized crystal structure of NaThPdPt.

a = 4.9498 Å, b = 4.9498 Å, c = 4.9498 Å
α = 60.00°, β = 60.00°, γ = 60.00°
Sites, in units of the cell vectors:
Na 0.5000 0.5000 0.5000
Pt 0.7500 0.7500 0.7500
Th 0.0000 0.0000 0.0000
Pd 0.2500 0.2500 0.2500

Results
Energy of formation from the pure elements ... -629 meV/atom

***

VASP calculation (GGA-PBE) on an optimized crystal structure of GaBiPSe.

a = 4.0015 Å, b = 4.4924 Å, c = 5.9315 Å
α = 81.28°, β = 89.79°, γ = 89.84°
Sites, in units of the cell vectors:
Se 0.3308 0.4470 0.9129
Ga 0.8288 0.8551 0.8766
Bi 0.8286 0.9066 0.3752
P 0.3270 0.3248 0.3051

Results
Distance to the lowest polymorph of the same formula ... 202.9 meV/atom

***

VASP calculation (GGA-PBE) on an optimized crystal structure of Ca3Sb2Pt.

a = 4.5879 Å, b = 11.9084 Å, c = 12.3277 Å
α = 90.00°, β = 90.00°, γ = 90.00°
Sites, in units of the cell vectors:
Ca 0.7500 0.9514 0.1175
Sb 0.2500 0.4986 0.8054
Ca 0.2500 0.1218 0.5549
Ca 0.7500 0.8782 0.4451
Sb 0.2500 0.0014 0.3054
Pt 0.2500 0.1347 0.1229
Sb 0.2500 0.8052 0.9920
Ca 0.7500 0.2994 0.7704
Sb 0.7500 0.5014 0.1946
Sb 0.7500 0.1948 0.0080
Ca 0.7500 0.5486 0.6175
Ca 0.2500 0.0486 0.8825
Ca 0.2500 0.4514 0.3825
Sb 0.7500 0.9986 0.6946
Pt 0.7500 0.6347 0.3771
Pt 0.7500 0.8653 0.8771
Ca 0.2500 0.7994 0.7296
Sb 0.2500 0.6948 0.4920
Ca 0.2500 0.3782 0.0549
Ca 0.7500 0.2006 0.2704
Ca 0.2500 0.7006 0.2296
Pt 0.2500 0.3653 0.6229
Ca 0.7500 0.6218 0.9451
Sb 0.7500 0.3052 0.5080

Results
Uncorrected energy ... -0.32329 Ry per atom

***

VASP calculation (GGA-PBE) on an optimized crystal structure of NaCuO.

a = 3.9397 Å, b = 3.4654 Å, c = 3.4654 Å
α = 120.00°, β = 90.00°, γ = 90.00°
Sites, in units of the cell vectors:
Cu 0.1668 0.3333 0.6667
Na 0.6669 0.6667 0.3333
O 0.1663 0.0000 0.0000

Results
Uncorrected energy ... -0.30113 Ry per atom

***

VASP calculation (GGA-PBE) on an optimized crystal structure of TmAg2S2.

a = 7.7866 Å, b = 5.4377 Å, c = 5.4377 Å
α = 77.47°, β = 109.14°, γ = 109.14°
Sites, in units of the cell vectors:
Ag 0.5000 0.5000 0.0000
Tm 0.2500 0.8554 0.1446
Ag 0.0000 0.0000 0.5000
S 0.3675 0.8743 0.7137
S 0.1325 0.2863 0.1257
Ag 0.0000 0.5000 0.5000
Ag 0.5000 0.5000 0.5000
S 0.6325 0.1257 0.2863
Tm 0.7500 0.1446 0.8554
S 0.8675 0.7137 0.8743

Results
Uncorrected energy ... -0.31983 Ry per atom

***

VASP calculation (GGA-PBE) on an optimized crystal structure of Nd5Ho4In.

a = 4.1846 Å, b = 4.1846 Å, c = 18.4321 Å
α = 90.00°, β = 90.00°, γ = 90.00°
Sites, in units of the cell vectors:
Ho 0.0000 0.0000 0.6023
Ho 0.0000 0.0000 0.3977
Ho 0.0000 0.0000 0.8057
Nd 0.5000 0.5000 0.5000
Nd 0.5000 0.5000 0.9095
Ho 0.0000 0.0000 0.1943
Nd 0.5000 0.5000 0.7046
Nd 0.5000 0.5000 0.2954
Nd 0.5000 0.5000 0.0905
In 0.0000 0.0000 0.0000

Results
Distance to the lowest polymorph of the same formula ... 0.0 meV/atom
Energy of formation from the pure elements ... -9 meV/atom

***

VASP calculation (GGA-PBE) on an optimized crystal structure of Cu2NiW.

a = 2.6582 Å, b = 2.6582 Å, c = 7.2241 Å
α = 90.00°, β = 90.00°, γ = 90.05°
Sites, in units of the cell vectors:
Ni 0.0000 0.0000 0.4872
Cu 0.0000 0.0000 0.0174
W 0.5000 0.5000 0.7408
Cu 0.5000 0.5000 0.2546

Results
Distance to the lowest polymorph of the same formula ... 0.0 meV/atom
Energy of formation from the pure elements ... 108 meV/atom

***

VASP calculation (GGA-PBE) on an optimized crystal structure of Mn2C.

a = 4.8294 Å, b = 4.8294 Å, c = 9.6840 Å
α = 90.00°, β = 90.00°, γ = 120.00°
Sites, in units of the cell vectors:
Mn 0.0000 0.0000 0.5000
C 0.3333 0.6667 0.8809
C 0.6667 0.3333 0.3809
Mn 0.0000 0.0000 0.0000
Mn 0.8325 0.6649 0.2500
Mn 0.1675 0.8325 0.7500
Mn 0.1675 0.3351 0.7500
Mn 0.3351 0.1675 0.2500
Mn 0.8325 0.1675 0.2500
C 0.3333 0.6667 0.6191
Mn 0.6649 0.8325 0.7500
C 0.6667 0.3333 0.1191

Results
Energy of formation from the pure elements ... 1351 meV/atom

***

VASP calculation (GGA-PBE) on an optimized crystal structure of VRePt.

a = 2.6229 Å, b = 4.4491 Å, c = 4.4491 Å
α = 120.00°, β = 90.00°, γ = 90.00°
Sites, in units of the cell vectors:
V 0.6669 0.6667 0.3333
Pt 0.1671 0.0000 0.0000
Re 0.1661 0.3333 0.6667

Results
Distance to the lowest polymorph of the same formula ... 170.8 meV/atom
Energy of formation from the pure elements ... -69 meV/atom

***

VASP calculation (GGA-PBE) on an optimized crystal structure of TeOsSe2N.

a = 5.1373 Å, b = 5.1373 Å, c = 3.7279 Å
α = 90.00°, β = 90.00°, γ = 90.00°
Sites, in units of the cell vectors:
N 0.0000 0.0000 0.5000
Se 0.5000 0.0000 0.0000
Os 0.0000 0.0000 0.0000
Te 0.5000 0.5000 0.5000
Se 0.0000 0.5000 0.0000

Results
Distance to the lowest polymorph of the same formula ... 0.0 meV/atom

***

Number 1: total magnetic moment 0.00 Bohr magnetons per cell. Number 2: total magnetic moment 3.00 Bohr magnetons per cell. Number 3: total magnetic moment 0.00 Bohr magnetons per cell. Number 4: total magnetic moment 0.00 Bohr magnetons per cell. Number 5: total magnetic moment 0.00 Bohr magnetons per cell. Number 6: total magnetic moment 0.00 Bohr magnetons per cell. Number 7: total magnetic moment 0.00 Bohr magnetons per cell. Number 8: total magnetic moment 0.00 Bohr magnetons per cell. Number 9: total magnetic moment 0.00 Bohr magnetons per cell. Number 10: total magnetic moment 20.50 Bohr magnetons per cell. Number 11: total magnetic moment 0.00 Bohr magnetons per cell. Number 12: total magnetic moment 0.00 Bohr magnetons per cell.